1.
DFT (PBE-GGA) results for Li2SbF6 after structural relaxation.

Lattice parameters (Å, degrees): 4.843 4.843 9.485 90.00 90.00 90.00
Each line ends with the local moment (μB).
Fractional positions:
1 Li 0.000 0.000 0.337  0.00
2 Li 0.500 0.500 0.837  0.00
3 Li 0.500 0.500 0.163  0.00
4 Li 0.000 0.000 0.663  0.00
5 Sb 0.000 0.000 0.000  0.22
6 Sb 0.500 0.500 0.500  0.22
7 F 0.303 0.303 0.336  0.07
8 F 0.697 0.697 0.336  0.07
9 F 0.197 0.803 0.836  0.07
10 F 0.803 0.197 0.836  0.07
11 F 0.197 0.803 0.164  0.07
12 F 0.803 0.197 0.164  0.07
13 F 0.303 0.303 0.664  0.07
14 F 0.697 0.697 0.664  0.07
15 F 0.302 0.302 0.000  0.06
16 F 0.698 0.698 0.000  0.06
17 F 0.198 0.802 0.500  0.06
18 F 0.802 0.198 0.500  0.06

VASP energy: -4.69 eV per atom
Symmetry: P4_2/mnm, No. 136
Formation energy (no corrections): -2.561 eV per atom
Magnetic moment: 1.4 Bohr magnetons per cell



2.
DFT (PBE-GGA) results for SmYGaIr after structural relaxation.

Lattice parameters (Å, degrees): 5.017 5.017 5.017 60.00 60.00 60.00
Fractional positions:
1 Y 0.750 0.750 0.750
2 Ir 0.500 0.500 0.500
3 Ga 0.000 0.000 0.000
4 Sm 0.250 0.250 0.250

VASP energy: -6.39 eV per atom
Symmetry: F-43m, No. 216
Energy above the most stable polymorph in this dataset: 85 meV/atom
E_form: -60 kJ per mole of atoms
Magnetic moment: 0.0 Bohr magnetons per cell